Entry 1:
DFT (GGA-PBE) results for crystalline TbCeZr2As4 at its relaxed geometry.

Properties
- mass density (Mg/m³) = 7.112
- SG = P2/m (10)
- calculated formation energy (eV/f.u.) = -10.5

Lattice parameters (Å, degrees): 4.000 6.926 6.977 109.34 90.00 90.00
Sites, in units of the cell vectors:
As 0.000 0.243 0.733
As 0.500 0.746 0.735
As 0.000 0.757 0.267
As 0.500 0.254 0.265
Ce 0.500 0.500 0.000
Zr 0.000 0.500 0.500
Zr 0.500 0.000 0.500
Tb 0.000 0.000 0.000

***

Entry 2:
DFT (GGA-PBE) results for crystalline Li3ThTe4 at its relaxed geometry.

Properties
- mass density (Mg/m³) = 5.016
- SG = Cmmm (65)
- raw total energy (eV/atom) = -4.060

Lattice parameters (Å, degrees): 4.183 8.001 8.544 117.92 90.00 90.00
Sites, in units of the cell vectors:
Te 0.000 0.343 0.235
Te 0.000 0.892 0.235
Te 0.000 0.657 0.765
Te 0.000 0.108 0.765
Li 0.000 0.500 0.000
Li 0.000 0.266 0.533
Li 0.000 0.734 0.467
Th 0.500 0.000 0.000